(1)
A plane-wave DFT calculation with PBE-GGA was carried out for a relaxed YGa3RhAu crystal.

Energy   -4.833 eV per atom
Energy relative to the elements   -0.470 eV/atom

Cell: 5.7161 13.8278 5.6787 Å, 90.00 90.00 90.00°
Closest atoms and distances in Å follow each position.
Space group Cmcm (No. 63)
Asymmetric unit:
Y: 0.0000 0.2057 0.2500 (multiplicity 4)  1 Rh 2.68, 2 Au 2.90
Ga: 0.0000 0.3648 0.7500 (multiplicity 4)  1 Au 2.79, 4 Ga 2.83, 2 Rh 2.88, 2 Y 3.02
Ga: 0.2220 0.0000 0.0000 (multiplicity 8)  5 Ga 2.54-2.84, 2 Rh 2.54
Rh: 0.0000 0.3996 0.2500 (multiplicity 4)  4 Ga 2.54, 1 Y 2.68
Au: 0.0000 0.1634 0.7500 (multiplicity 4)  5 Ga 2.79-2.95, 2 Y 2.90, 2 Rh 2.99

(2)
A plane-wave DFT calculation with PBE-GGA was carried out for a relaxed YGaRhAu2 crystal.

Energy   -3.573 eV per atom
Energy relative to the elements   1.106 eV/atom

Cell: 5.2775 5.2775 5.4401 Å, 90.00 90.00 90.00°
Closest atoms and distances in Å follow each position.
Space group P4/mmm (No. 123)
Asymmetric unit:
Y: 0.0000 0.0000 0.0000 (multiplicity 1)  4 Au 2.64, 2 Ga 2.72
Ga: 0.0000 0.0000 0.5000 (multiplicity 1)  2 Y 2.72
Rh: 0.5000 0.5000 0.5000 (multiplicity 1)  4 Ga 3.73, 8 Au 3.79
Au: 0.0000 0.5000 0.0000 (multiplicity 2)  2 Y 2.64

(3)
A plane-wave DFT calculation with PBE-GGA was carried out for a relaxed Y2Ga2Rh5Au crystal.

Energy   -6.558 eV per atom
Energy relative to the elements   -0.656 eV/atom

Cell: 9.7280 9.7280 3.6522 Å, 90.00 90.00 90.00°
Closest atoms and distances in Å follow each position.
Space group P4/mbm (No. 127)
Asymmetric unit:
Y: 0.1762 0.3238 0.0000 (multiplicity 4)  3 Ga 2.76-2.96, 2 Rh 3.03
Ga: 0.1230 0.6230 0.0000 (multiplicity 4)  6 Rh 2.49-2.51, 1 Y 2.76
Rh: 0.0000 0.5000 0.5000 (multiplicity 2)  4 Ga 2.49
Rh: 0.0682 0.7916 0.5000 (multiplicity 8)  2 Ga 2.51, 2 Au 2.81
Au: 0.0000 0.0000 0.0000 (multiplicity 2)  8 Rh 2.81

(4)
A plane-wave DFT calculation with PBE-GGA was carried out for a relaxed GaRu3Au crystal.

Energy   -4.768 eV per atom
Energy relative to the elements   2.058 eV/atom

Cell: 4.8793 4.8793 4.8793 Å, 90.00 90.00 90.00°
Closest atoms and distances in Å follow each position.
Space group Pm-3m (No. 221)
Asymmetric unit:
Ga: 0.0000 0.0000 0.0000 (multiplicity 1)  12 Ru 3.45
Ru: 0.0000 0.5000 0.5000 (multiplicity 3)  2 Au 2.44
Au: 0.5000 0.5000 0.5000 (multiplicity 1)  6 Ru 2.44

(5)
A plane-wave DFT calculation with PBE-GGA was carried out for a relaxed GaRu3Au crystal.

Energy   -5.481 eV per atom
Energy relative to the elements   1.346 eV/atom

Cell: 4.5409 4.5409 4.5409 Å, 90.00 90.00 90.00°
Closest atoms and distances in Å follow each position.
Space group Pm-3m (No. 221)
Asymmetric unit:
Ga: 0.0000 0.0000 0.0000 (multiplicity 1)  6 Ru 2.27
Ru: 0.0000 0.0000 0.5000 (multiplicity 3)  2 Ga 2.27
Au: 0.5000 0.5000 0.5000 (multiplicity 1)  12 Ru 3.21

(6)
A plane-wave DFT calculation with PBE-GGA was carried out for a relaxed GaRuAu2 crystal.

Energy   -4.300 eV per atom
Energy relative to the elements   0.414 eV/atom

Cell: 2.8059 2.8059 30.9387 Å, 90.00 90.00 120.00°
Closest atoms and distances in Å follow each position.
Space group R-3m (No. 166, hexagonal axes)
Asymmetric unit:
Ga: 0.0000 0.0000 0.0000 (multiplicity 3)  6 Ga 2.81, 6 Au 2.92
Ru: 0.0000 0.0000 0.5000 (multiplicity 3)  2 Au 2.73, 6 Ru 2.81
Au: 0.0000 0.0000 0.4118 (multiplicity 6)  1 Ru 2.73, 6 Au 2.81, 3 Ga 2.92